A plane-wave DFT calculation with PBE was carried out for a relaxed Zr4CuAu crystal.

Calculated values
- raw total energy (eV per atom) = -7.1391
- calculated formation energy (kJ/mol of formula units) = -160

```
data_Zr4CuAu
_chemical_formula_sum 'Zr4 Cu1 Au1'
_cell_length_a 3.269
_cell_length_b 3.269
_cell_length_c 11.474
_cell_angle_alpha 90.00
_cell_angle_beta 90.00
_cell_angle_gamma 90.00
_space_group_name_H-M_alt 'P 4/m m m'
_space_group_IT_number 123
_space_group_name_Hall '-P 4 2'
loop_
_atom_site_label
_atom_site_type_symbol
_atom_site_fract_x
_atom_site_fract_y
_atom_site_fract_z
Zr1 Zr 0.000 0.000 0.148
Zr2 Zr 0.500 0.500 0.333
Cu1 Cu 0.500 0.500 0.000
Au1 Au 0.000 0.000 0.500
```



A plane-wave DFT calculation with PBE was carried out for a relaxed GdInCo2 crystal.

Calculated values
- raw total energy (eV per atom) = -5.6451

```
data_GdInCo2
_chemical_formula_sum 'Gd2 In2 Co4'
_cell_length_a 5.033
_cell_length_b 4.006
_cell_length_c 7.134
_cell_angle_alpha 90.00
_cell_angle_beta 90.00
_cell_angle_gamma 90.00
_space_group_name_H-M_alt 'P m m a'
_space_group_IT_number 51
loop_
_space_group_symop_operation_xyz
'x,y,z'
'-x,-y,-z'
'-x+1/2,-y,z'
'x+1/2,y,-z'
'x+1/2,-y,-z'
'-x+1/2,y,z'
'-x,y,-z'
'x,-y,z'
loop_
_atom_site_label
_atom_site_type_symbol
_atom_site_fract_x
_atom_site_fract_y
_atom_site_fract_z
Gd1 Gd 0.250 0.000 0.220
In1 In 0.250 0.500 0.849
Co1 Co 0.000 0.500 0.500
Co2 Co 0.250 0.000 0.593
```



A plane-wave DFT calculation with PBE was carried out for a relaxed AlCuAgHg crystal.

Calculated values
- raw total energy (eV per atom) = -2.5187
- distance to the lowest polymorph of the same formula (meV/atom) = 0

```
data_AlCuAgHg
_chemical_formula_sum 'Al4 Cu4 Ag4 Hg4'
_cell_length_a 6.478
_cell_length_b 6.478
_cell_length_c 6.478
_cell_angle_alpha 90.00
_cell_angle_beta 90.00
_cell_angle_gamma 90.00
_space_group_name_H-M_alt 'F -4 3 m'
_space_group_IT_number 216
_space_group_name_Hall 'F -4 2 3'
loop_
_atom_site_label
_atom_site_type_symbol
_atom_site_fract_x
_atom_site_fract_y
_atom_site_fract_z
Al1 Al 0.000 0.000 0.000
Cu1 Cu 0.250 0.250 0.250
Ag1 Ag 0.250 0.250 0.750
Hg1 Hg 0.000 0.000 0.500
```



A plane-wave DFT calculation with PBE was carried out for a relaxed Tb2Cd3Sn3 crystal.

Calculated values
- raw total energy (eV per atom) = -3.4434

```
data_Tb2Cd3Sn3
_chemical_formula_sum 'Tb2 Cd3 Sn3'
_cell_length_a 4.603
_cell_length_b 4.778
_cell_length_c 8.914
_cell_angle_alpha 90.00
_cell_angle_beta 90.00
_cell_angle_gamma 90.00
_space_group_name_H-M_alt 'P m m m'
_space_group_IT_number 47
loop_
_space_group_symop_operation_xyz
'x,y,z'
'-x,-y,-z'
'-x,-y,z'
'x,y,-z'
'x,-y,-z'
'-x,y,z'
'-x,y,-z'
'x,-y,z'
loop_
_atom_site_label
_atom_site_type_symbol
_atom_site_fract_x
_atom_site_fract_y
_atom_site_fract_z
Tb1 Tb 0.000 0.000 0.245
Cd1 Cd 0.000 0.500 0.500
Cd2 Cd 0.500 0.500 0.259
Sn1 Sn 0.000 0.500 0.000
Sn2 Sn 0.500 0.000 0.000
Sn3 Sn 0.500 0.000 0.500
```



A plane-wave DFT calculation with PBE was carried out for a relaxed Rb2ZnInCl6 crystal.

Calculated values
- raw total energy (eV per atom) = -3.0905

```
data_Rb2ZnInCl6
_chemical_formula_sum 'Rb8 Zn4 In4 Cl24'
_cell_length_a 10.355
_cell_length_b 10.355
_cell_length_c 10.355
_cell_angle_alpha 90.00
_cell_angle_beta 90.00
_cell_angle_gamma 90.00
_space_group_name_H-M_alt 'F m -3 m'
_space_group_IT_number 225
_space_group_name_Hall '-F 4 2 3'
loop_
_atom_site_label
_atom_site_type_symbol
_atom_site_fract_x
_atom_site_fract_y
_atom_site_fract_z
Rb1 Rb 0.250 0.250 0.250
Zn1 Zn 0.000 0.000 0.000
In1 In 0.000 0.000 0.500
Cl1 Cl 0.000 0.000 0.240
```



A plane-wave DFT calculation with PBE was carried out for a relaxed Tm3BiSe2 crystal.

Calculated values
- raw total energy (eV per atom) = -5.4257

```
data_Tm3BiSe2
_chemical_formula_sum 'Tm3 Bi1 Se2'
_cell_length_a 4.1712
_cell_length_b 4.1712
_cell_length_c 10.0605
_cell_angle_alpha 90.00
_cell_angle_beta 90.00
_cell_angle_gamma 120.00
_space_group_name_H-M_alt 'P -3 m 1'
_space_group_IT_number 164
_space_group_name_Hall '-P 3 2"'
loop_
_atom_site_label
_atom_site_type_symbol
_atom_site_fract_x
_atom_site_fract_y
_atom_site_fract_z
Tm1 Tm 0.0000 0.0000 0.0000
Tm2 Tm 0.3333 0.6667 0.3105
Bi1 Bi 0.0000 0.0000 0.5000
Se1 Se 0.3333 0.6667 0.8440
```



A plane-wave DFT calculation with PBE was carried out for a relaxed Nb3AgTe4 crystal.

Calculated values
- raw total energy (eV per atom) = -5.7853

```
data_Nb3AgTe4
_chemical_formula_sum 'Nb6 Ag2 Te8'
_cell_length_a 9.8234
_cell_length_b 9.8234
_cell_length_c 4.6353
_cell_angle_alpha 90.00
_cell_angle_beta 90.00
_cell_angle_gamma 120.00
_space_group_name_H-M_alt 'P 63/m'
_space_group_IT_number 176
_space_group_name_Hall '-P 6c'
loop_
_atom_site_label
_atom_site_type_symbol
_atom_site_fract_x
_atom_site_fract_y
_atom_site_fract_z
Nb1 Nb 0.1425 0.6387 0.2500
Ag1 Ag 0.0000 0.0000 0.0000
Te1 Te 0.0165 0.3133 0.2500
Te2 Te 0.3333 0.6667 0.7500
```



A plane-wave DFT calculation with PBE was carried out for a relaxed PdS2 crystal.

Calculated values
- raw total energy (eV per atom) = -4.0730

```
data_PdS2
_chemical_formula_sum 'Pd2 S4'
_cell_length_a 2.965
_cell_length_b 2.965
_cell_length_c 11.741
_cell_angle_alpha 90.00
_cell_angle_beta 90.00
_cell_angle_gamma 90.00
_space_group_name_H-M_alt 'I 4/m m m'
_space_group_IT_number 139
_space_group_name_Hall '-I 4 2'
loop_
_atom_site_label
_atom_site_type_symbol
_atom_site_fract_x
_atom_site_fract_y
_atom_site_fract_z
Pd1 Pd 0.000 0.000 0.000
S1 S 0.000 0.000 0.367
```



A plane-wave DFT calculation with PBE was carried out for a relaxed DyTm2Ga crystal.

Calculated values
- raw total energy (eV per atom) = -4.4004
- distance to the lowest polymorph of the same formula (meV/atom) = 0

```
data_DyTm2Ga
_chemical_formula_sum 'Dy4 Tm8 Ga4'
_cell_length_a 4.814
_cell_length_b 10.449
_cell_length_c 8.407
_cell_angle_alpha 90.00
_cell_angle_beta 90.00
_cell_angle_gamma 90.00
_space_group_name_H-M_alt 'A m a 2'
_space_group_IT_number 40
loop_
_space_group_symop_operation_xyz
'x,y,z'
'-x,-y,z'
'-x+1/2,y,z'
'x+1/2,-y,z'
'x,y+1/2,z+1/2'
'-x,-y+1/2,z+1/2'
'-x+1/2,y+1/2,z+1/2'
'x+1/2,-y+1/2,z+1/2'
loop_
_atom_site_label
_atom_site_type_symbol
_atom_site_fract_x
_atom_site_fract_y
_atom_site_fract_z
Dy1 Dy 0.250 0.114 0.000
Tm1 Tm 0.250 0.112 0.592
Tm2 Tm 0.250 0.381 0.797
Ga1 Ga 0.250 0.322 0.294
```



A plane-wave DFT calculation with PBE was carried out for a relaxed MgHgAsO crystal.

Calculated values
- raw total energy (eV per atom) = -3.5756
- distance to the lowest polymorph of the same formula (meV/atom) = 158

```
data_MgHgAsO
_chemical_formula_sum 'Mg2 Hg2 As2 O2'
_cell_length_a 3.337
_cell_length_b 7.152
_cell_length_c 6.468
_cell_angle_alpha 90.00
_cell_angle_beta 90.00
_cell_angle_gamma 90.00
_space_group_name_H-M_alt 'P m c 21'
_space_group_IT_number 26
loop_
_space_group_symop_operation_xyz
'x,y,z'
'-x,-y,z+1/2'
'-x,y,z'
'x,-y,z+1/2'
loop_
_atom_site_label
_atom_site_type_symbol
_atom_site_fract_x
_atom_site_fract_y
_atom_site_fract_z
Mg1 Mg 0.000 0.233 0.000
Hg1 Hg 0.500 0.185 0.557
As1 As 0.000 0.415 0.358
O1 O 0.500 0.120 0.925
```



A plane-wave DFT calculation with PBE was carried out for a relaxed Hf15SiO32 crystal.

Calculated values
- raw total energy (eV per atom) = -9.9877
- distance to the lowest polymorph of the same formula (meV/atom) = 0

```
data_Hf15SiO32
_chemical_formula_sum 'Hf15 Si1 O32'
_cell_length_a 7.342
_cell_length_b 7.373
_cell_length_c 10.155
_cell_angle_alpha 84.14
_cell_angle_beta 82.78
_cell_angle_gamma 87.74
_space_group_name_H-M_alt 'P 1'
_space_group_IT_number 1
loop_
_space_group_symop_operation_xyz
'x,y,z'
loop_
_atom_site_label
_atom_site_type_symbol
_atom_site_fract_x
_atom_site_fract_y
_atom_site_fract_z
Hf1 Hf 0.000 0.000 0.000
Hf2 Hf 0.000 0.986 0.498
Hf3 Hf 0.165 0.246 0.723
Hf4 Hf 0.206 0.705 0.721
Hf5 Hf 0.214 0.702 0.218
Hf6 Hf 0.449 0.047 0.006
Hf7 Hf 0.457 0.037 0.496
Hf8 Hf 0.492 0.503 0.997
Hf9 Hf 0.501 0.496 0.499
Hf10 Hf 0.668 0.747 0.225
Hf11 Hf 0.669 0.747 0.724
Hf12 Hf 0.706 0.204 0.725
Hf13 Hf 0.724 0.212 0.228
Hf14 Hf 0.962 0.537 0.000
Hf15 Hf 0.963 0.524 0.491
Si1 Si 0.160 0.222 0.240
O1 O 0.005 0.270 0.103
O2 O 0.051 0.792 0.884
O3 O 0.062 0.770 0.389
O4 O 0.103 0.461 0.827
O5 O 0.116 0.433 0.309
O6 O 0.196 0.980 0.143
O7 O 0.199 0.980 0.629
O8 O 0.222 0.501 0.581
O9 O 0.223 0.560 0.057
O10 O 0.244 0.096 0.890
O11 O 0.247 0.102 0.380
O12 O 0.383 0.256 0.143
O13 O 0.423 0.639 0.329
O14 O 0.423 0.639 0.822
O15 O 0.443 0.236 0.637
O16 O 0.470 0.761 0.581
O17 O 0.479 0.771 0.087
O18 O 0.556 0.285 0.896
O19 O 0.567 0.280 0.394
O20 O 0.600 0.961 0.832
O21 O 0.616 0.961 0.330
O22 O 0.699 0.472 0.132
O23 O 0.703 0.478 0.633
O24 O 0.720 0.034 0.084
O25 O 0.724 0.004 0.584
O26 O 0.745 0.602 0.891
O27 O 0.750 0.590 0.386
O28 O 0.918 0.152 0.835
O29 O 0.935 0.746 0.134
O30 O 0.941 0.135 0.325
O31 O 0.944 0.731 0.631
O32 O 0.969 0.253 0.584
```